1.
LiNd2HoHg4 | Alexandria via LeMat-Bulk | PBE-GGA | relaxed; formation energy = -0.455 eV per atom; magnetic moment = 0.000 μB/f.u.
1.0
-0.8409 -4.0033 3.2831
3.7601 -1.4855 3.3417
-2.1182 3.6813 8.1363
Li Nd Ho Hg
1 2 1 4
direct
0.5000 0.5000 0.5000
0.7543 0.7543 0.7370
0.2457 0.2457 0.2630
0.0000 0.0000 0.0000
0.3738 0.3738 0.8787
0.8751 0.8751 0.3748
0.1249 0.1249 0.6252
0.6262 0.6262 0.1213

---

2.
Li2NdHoHg4 | Alexandria via LeMat-Bulk | PBE-GGA | relaxed; formation energy = -0.442 eV per atom; magnetic moment = 0.000 μB/f.u.
1.0
-2.7692 -4.1416 0.9178
1.8352 -4.5799 -1.1487
3.0478 -3.4683 7.5270
Li Nd Ho Hg
2 1 1 4
direct
0.7519 0.7519 0.7444
0.2481 0.2481 0.2556
0.0000 0.0000 0.0000
0.5000 0.5000 0.5000
0.3784 0.3784 0.8649
0.8725 0.8725 0.3825
0.1275 0.1275 0.6175
0.6216 0.6216 0.1351

---

3.
LiHoNiHg | Alexandria via LeMat-Bulk | PBE-GGA | relaxed; formation energy = -0.245 eV per atom; magnetic moment = 0.000 μB/f.u.
1.0
-2.1568 3.2083 2.6019
-4.1355 1.6845 -1.3323
-3.8490 -1.1274 2.3725
Ni Li Hg Ho
1 1 1 1
direct
0.2500 0.2500 0.2500
0.7500 0.7500 0.7500
0.5000 0.5000 0.5000
0.0000 0.0000 0.0000

---

4.
LiHo2Hg4Pb | Alexandria via LeMat-Bulk | PBE-GGA | relaxed; formation energy = -0.374 eV per atom; magnetic moment = 0.000 μB/f.u.
1.0
-4.8296 1.2586 -1.2072
-3.5529 0.3782 3.6878
-0.9284 8.6339 1.7948
Li Ho Hg Pb
1 2 4 1
direct
0.5000 0.5000 0.5000
0.7451 0.7451 0.7648
0.2549 0.2549 0.2352
0.3874 0.3874 0.8378
0.8657 0.8657 0.4030
0.1343 0.1343 0.5970
0.6126 0.6126 0.1622
0.0000 0.0000 0.0000

---

5.
Li2HoHgPd2 | Alexandria via LeMat-Bulk | PBE-GGA | relaxed; formation energy = -0.542 eV per atom; magnetic moment = 0.000 μB/f.u.
1.0
4.4503 0.0000 0.0000
-2.2251 3.8541 0.0000
0.0000 0.0000 6.3093
Li Ho Hg Pd
2 1 1 2
direct
0.3333 0.6667 0.6585
0.6667 0.3333 0.3415
0.0000 0.0000 0.0000
0.0000 0.0000 0.5000
0.3333 0.6667 0.2158
0.6667 0.3333 0.7842

---

6.
LiPmHo2Hg4 | Alexandria via LeMat-Bulk | PBE-GGA | relaxed; formation energy = -0.443 eV per atom; magnetic moment = 0.000 μB/f.u.
1.0
5.1195 0.0000 0.0000
2.5597 4.4336 0.0000
2.5597 1.4779 8.7347
Li Pm Ho Hg
1 1 2 4
direct
0.5000 0.5000 0.5000
0.0000 0.0000 0.0000
0.7566 0.7566 0.7301
0.2434 0.2434 0.2699
0.3830 0.3830 0.8510
0.8731 0.8731 0.3806
0.1269 0.1269 0.6194
0.6170 0.6170 0.1490

---

- What is the formation energy in the third record?
  -0.245 eV per atom

---

Repeat the fourth record exactly.
LiHo2Hg4Pb | Alexandria via LeMat-Bulk | PBE-GGA | relaxed; formation energy = -0.374 eV per atom; magnetic moment = 0.000 μB/f.u.
1.0
-4.8296 1.2586 -1.2072
-3.5529 0.3782 3.6878
-0.9284 8.6339 1.7948
Li Ho Hg Pb
1 2 4 1
direct
0.5000 0.5000 0.5000
0.7451 0.7451 0.7648
0.2549 0.2549 0.2352
0.3874 0.3874 0.8378
0.8657 0.8657 0.4030
0.1343 0.1343 0.5970
0.6126 0.6126 0.1622
0.0000 0.0000 0.0000

---

- What is the formation energy in the third record?
  -0.245 eV per atom